# 1
## GdCuSnSe3 (PBE)

Data for a relaxed structure of GdCuSnSe3.

Output
* uncorrected energy: -56.84 eV per cell
* polymorph energy (0 for the lowest one): 22 meV per atom
* M_tot: 0.00 μB/f.u.

a b c (Å): 7.886 4.023 9.837
angles (deg): 90.00 105.27 90.00
Element x y z (fractional)
Cu (0.924, 0.750, 0.914)
Cu (0.076, 0.250, 0.086)
Se (0.955, 0.750, 0.670)
Sn (0.237, 0.250, 0.803)
Se (0.045, 0.250, 0.330)
Se (0.575, 0.250, 0.355)
Gd (0.308, 0.750, 0.339)
Sn (0.763, 0.750, 0.197)
Se (0.748, 0.250, 0.961)
Se (0.252, 0.750, 0.039)
Se (0.425, 0.750, 0.645)
Gd (0.692, 0.250, 0.661)

---

# 2
## PmIrPd (PBE)

Data for a relaxed structure of PmIrPd.

Output
* uncorrected energy: -19.32 eV per cell
* polymorph energy (0 for the lowest one): 0 meV per atom
* energy of formation: -17.5 kJ/mol of atoms
* M_tot: 0.00 μB/f.u.

a b c (Å): 4.592 4.592 4.592
angles (deg): 60.00 60.00 60.00
Element x y z (fractional)
Pm (0.250, 0.250, 0.250)
Pd (0.750, 0.750, 0.750)
Ir (0.000, 0.000, 0.000)

---

# 3
## KThAgS3 (PBE)

Data for a relaxed structure of KThAgS3.

Output
* uncorrected energy: -64.43 eV per cell
* M_tot: 0.00 μB/f.u.

a b c (Å): 7.364 7.364 10.751
angles (deg): 90.00 90.00 146.84
Element x y z (fractional)
K (0.242, 0.758, 0.250)
S (0.872, 0.128, 0.453)
Ag (0.960, 0.040, 0.250)
Ag (0.040, 0.960, 0.750)
K (0.758, 0.242, 0.750)
Th (0.500, 0.500, 0.000)
S (0.567, 0.433, 0.250)
S (0.128, 0.872, 0.953)
S (0.128, 0.872, 0.547)
S (0.433, 0.567, 0.750)
S (0.872, 0.128, 0.047)
Th (0.500, 0.500, 0.500)

---

# 4
## Nd2U (PBE)

Data for a relaxed structure of Nd2U.

Output
* uncorrected energy: -27.66 eV per cell
* energy of formation: 224.9 kJ/mol of atoms
* M_tot: 0.90 μB/f.u.

a b c (Å): 8.911 8.911 8.911
angles (deg): 60.00 60.00 60.00
Element x y z (fractional)
Nd (0.375, 0.375, 0.875)
Nd (0.375, 0.375, 0.375)
U (0.500, 0.500, 0.500)
Nd (0.875, 0.375, 0.375)
Nd (0.375, 0.875, 0.375)
U (0.250, 0.250, 0.250)

---

# 5
## Tm3Mg3In2Ga (PBE)

Data for a relaxed structure of Tm3Mg3In2Ga.

Output
* uncorrected energy: -30.00 eV per cell
* M_tot: 0.00 μB/f.u.

a b c (Å): 7.431 7.431 4.511
angles (deg): 90.00 90.00 120.00
Element x y z (fractional)
Mg (0.000, 0.762, 0.500)
In (0.333, 0.667, 0.500)
Tm (0.000, 0.419, 0.000)
Ga (0.000, 0.000, 0.000)
Mg (0.762, 0.000, 0.500)
In (0.667, 0.333, 0.500)
Tm (0.581, 0.581, 0.000)
Tm (0.419, 0.000, 0.000)
Mg (0.238, 0.238, 0.500)

---

# 6
## ScH3Os (PBE)

Data for a relaxed structure of ScH3Os.

Output
* uncorrected energy: -59.04 eV per cell
* M_tot: 0.00 μB/f.u.

a b c (Å): 5.878 5.878 4.695
angles (deg): 90.00 90.00 147.75
Element x y z (fractional)
H (0.457, 0.543, 0.984)
Os (0.083, 0.917, 0.586)
Os (0.917, 0.083, 0.086)
H (0.543, 0.457, 0.484)
Sc (0.635, 0.365, 0.088)
H (0.806, 0.194, 0.842)
H (0.194, 0.806, 0.833)
H (0.194, 0.806, 0.342)
Sc (0.365, 0.635, 0.588)
H (0.806, 0.194, 0.333)